Compound: TiVCd2O6
Source: Alexandria
Functional: GGA+U
Structure: relaxed

Cell lengths 5.335, 5.335, 4.615 Å; angles 90.00, 90.00, 90.00 degrees
Space group P4mm (No. 99)
Inequivalent atoms, fractional coordinates:
Ti  0.000  0.000  0.000
V  0.500  0.500  0.989
Cd  0.000  0.500  0.407
O  0.000  0.000  0.617
O  0.252  0.252  0.112
O  0.500  0.500  0.616

Computed properties:
Uncorrected energy, Ha/atom: -0.238
Magnetic moment, μB/f.u.: 1.0
Crystal system: tetragonal